# 1
VASP calculation (PBE-GGA) on a relaxed SrSc2Mn crystal.

It has space group R-3m (No. 166, hexagonal axes), with a = 3.3215 Å, b = 3.3215 Å, c = 31.7647 Å, α = 90.00°, β = 90.00° and γ = 120.00°. Symmetry generates all atoms from Sr at (0.0000, 0.0000, 0.0000), Sc at (0.0000, 0.0000, 0.4319) and Mn at (0.0000, 0.0000, 0.5000).

The calculation puts the density at 3.82 g cm⁻³. As for the density of states at the Fermi level: 3.76 states/eV/f.u. Its raw total energy is -0.185 Ha/atom. As for the relative energy among the computed polymorphs: 0.645 eV/atom.

# 2
VASP calculation (PBE-GGA) on a relaxed Mg2Te crystal.

It has space group P4/mmm (No. 123), with a = 4.4238 Å, b = 4.4238 Å, c = 4.2818 Å, α = 90.00°, β = 90.00° and γ = 90.00°. Symmetry generates all atoms from Mg at (0.0000, 0.5000, 0.0000) and Te at (0.0000, 0.0000, 0.5000).

The calculation puts the density at 3.49 g cm⁻³. As for the density of states at the Fermi level: 1.68 states/eV/f.u. Its raw total energy is -0.087 Ha/atom. The uncorrected formation energy is -271 meV/atom.

# 3
VASP calculation (PBE-GGA) on a relaxed AlZnSe4 crystal.

It has space group F-43m (No. 216), with a = 8.1658 Å, b = 8.1658 Å, c = 8.1658 Å, α = 90.00°, β = 90.00° and γ = 90.00°. Symmetry generates all atoms from Al at (0.0000, 0.0000, 0.0000), Zn at (0.2500, 0.2500, 0.2500) and Se at (0.1234, 0.1234, 0.6234).

The calculation puts the density at 4.98 g cm⁻³. As for the density of states at the Fermi level: 3.59 states/eV/f.u. Its raw total energy is -0.099 Ha/atom. The uncorrected formation energy is 478 meV/atom.

Which value of density does entry 1 give?
3.82 g cm⁻³

Number 2 is which compound?
Mg2Te